1.
Entry from the Open Quantum Materials Database: a relaxed structure of PrYGa2Pd4 (PBE-GGA).

## Properties
Total energy = -5.61 eV per atom

a = 4.436 Å, b = 4.436 Å, c = 9.261 Å
α = 90.00°, β = 90.00°, γ = 120.00°
Sites, in units of the cell vectors:
1 Pr 0.000 0.000 0.000
2 Y 0.333 0.667 0.500
3 Ga 0.667 0.333 0.257
4 Ga 0.667 0.333 0.743
5 Pd 0.000 0.000 0.334
6 Pd 0.000 0.000 0.666
7 Pd 0.333 0.667 0.179
8 Pd 0.333 0.667 0.821

2.
Entry from the Open Quantum Materials Database: a relaxed structure of PrY2Ga2Pd4 (PBE-GGA).

## Properties
Total energy = -5.78 eV per atom

a = 5.552 Å, b = 5.552 Å, c = 8.626 Å
α = 96.49°, β = 96.49°, γ = 46.15°
Sites, in units of the cell vectors:
1 Pr 0.000 0.000 0.000
2 Y 0.376 0.376 0.612
3 Y 0.624 0.624 0.388
4 Ga 0.320 0.320 0.222
5 Ga 0.680 0.680 0.778
6 Pd 0.086 0.086 0.634
7 Pd 0.282 0.282 0.909
8 Pd 0.718 0.718 0.091
9 Pd 0.914 0.914 0.366

3.
Entry from the Open Quantum Materials Database: a relaxed structure of GaPd2Pt2 (PBE-GGA).

## Properties
Total energy = -4.99 eV per atom

a = 7.128 Å, b = 7.128 Å, c = 7.128 Å
α = 150.83°, β = 150.83°, γ = 41.73°
Sites, in units of the cell vectors:
1 Ga 0.000 0.000 0.000
2 Pd 0.250 0.750 0.500
3 Pd 0.750 0.250 0.500
4 Pt 0.404 0.404 0.000
5 Pt 0.596 0.596 0.000

4.
Entry from the Open Quantum Materials Database: a relaxed structure of Ga5PdPt (PBE-GGA).

## Properties
Total energy = -4.03 eV per atom

a = 4.409 Å, b = 4.409 Å, c = 6.114 Å
α = 90.00°, β = 90.00°, γ = 90.00°
Sites, in units of the cell vectors:
1 Ga 0.000 0.000 0.000
2 Ga 0.000 0.500 0.268
3 Ga 0.000 0.500 0.732
4 Ga 0.500 0.000 0.268
5 Ga 0.500 0.000 0.732
6 Pd 0.500 0.500 0.500
7 Pt 0.500 0.500 0.000

no.,density (g/cm3)
1,8.4
2,7.7
3,13.0
4,9.1